Entry 1:
The following is a DFT calculation (GGA-PBE) of a relaxed Tb2Ag2Pd5 crystal.

- Calculated formation energy: -484.4 meV per atom
- N(E_F): 1.9 states/eV/f.u.
- Size of the total moment: 0.0 μB/cell
- Space-group type: Imma, No. 74
- Total energy: -0.18492 Ha/atom

Lattice parameters (Å, degrees): 10.283 10.283 10.283 130.15 56.78 154.58
Fractional positions:
1 Tb 0.385 0.000 0.885
2 Tb 0.385 0.500 0.385
3 Tb 0.615 0.000 0.115
4 Tb 0.615 0.500 0.615
5 Ag 0.000 0.000 0.000
6 Ag 0.000 0.000 0.500
7 Ag 0.000 0.500 0.000
8 Ag 0.500 0.000 0.500
9 Pd 0.097 0.245 0.852
10 Pd 0.107 0.755 0.352
11 Pd 0.201 0.000 0.701
12 Pd 0.201 0.500 0.201
13 Pd 0.494 0.744 0.750
14 Pd 0.506 0.256 0.250
15 Pd 0.799 0.000 0.299
16 Pd 0.799 0.500 0.799
17 Pd 0.893 0.245 0.648
18 Pd 0.903 0.755 0.148



Entry 2:
The following is a DFT calculation (GGA-PBE) of a relaxed TbAgPd crystal.

- Calculated formation energy: -535.6 meV per atom
- Energy relative to the lowest polymorph listed for this composition: 48.9 meV per atom
- N(E_F): 1.1 states/eV/f.u.
- Size of the total moment: 0.0 μB/cell
- Space-group type: P2_1/c, No. 14
- Total energy: -0.17494 Ha/atom

Lattice parameters (Å, degrees): 6.779 5.655 7.098 90.00 109.86 90.00
Fractional positions:
1 Tb 0.242 0.143 0.396
2 Tb 0.242 0.357 0.896
3 Tb 0.758 0.643 0.104
4 Tb 0.758 0.857 0.604
5 Ag 0.158 0.653 0.507
6 Ag 0.158 0.847 0.007
7 Ag 0.842 0.153 0.993
8 Ag 0.842 0.347 0.493
9 Pd 0.442 0.578 0.292
10 Pd 0.442 0.922 0.792
11 Pd 0.558 0.078 0.208
12 Pd 0.558 0.422 0.708



Entry 3:
The following is a DFT calculation (GGA-PBE) of a relaxed Tb4Ag3Pd2 crystal.

- Calculated formation energy: -508.7 meV per atom
- N(E_F): 6.0 states/eV/f.u.
- Size of the total moment: 0.0 μB/cell
- Space-group type: C2/m, No. 12
- Total energy: -0.17166 Ha/atom

Lattice parameters (Å, degrees): 4.911 4.911 9.745 90.05 90.05 60.03
Fractional positions:
1 Tb 0.000 0.000 0.168
2 Tb 0.000 0.000 0.832
3 Tb 0.334 0.334 0.616
4 Tb 0.666 0.666 0.384
5 Ag 0.000 0.000 0.500
6 Ag 0.333 0.333 0.006
7 Ag 0.667 0.667 0.994
8 Pd 0.333 0.333 0.312
9 Pd 0.667 0.667 0.688



Entry 4:
The following is a DFT calculation (GGA-PBE) of a relaxed Tb2AgPd crystal.

- Calculated formation energy: -586.0 meV per atom
- N(E_F): 3.9 states/eV/f.u.
- Size of the total moment: 0.0 μB/cell
- Space-group type: P4/mmm, No. 123
- Total energy: -0.18052 Ha/atom

Lattice parameters (Å, degrees): 3.578 3.578 7.228 90.00 90.00 90.00
Fractional positions:
1 Tb 0.000 0.000 0.239
2 Tb 0.000 0.000 0.761
3 Ag 0.500 0.500 0.500
4 Pd 0.500 0.500 0.000



Entry 5:
The following is a DFT calculation (GGA-PBE) of a relaxed TbAg3Pd2 crystal.

- Calculated formation energy: -353.6 meV per atom
- N(E_F): 2.4 states/eV/f.u.
- Size of the total moment: 0.0 μB/cell
- Space-group type: C2/c, No. 15
- Total energy: -0.15736 Ha/atom

Lattice parameters (Å, degrees): 5.208 5.208 9.213 100.41 100.41 110.55
Fractional positions:
1 Tb 0.124 0.876 0.750
2 Tb 0.876 0.124 0.250
3 Ag 0.216 0.466 0.931
4 Ag 0.375 0.625 0.250
5 Ag 0.466 0.216 0.431
6 Ag 0.534 0.784 0.569
7 Ag 0.625 0.375 0.750
8 Ag 0.784 0.534 0.069
9 Pd 0.047 0.298 0.593
10 Pd 0.298 0.047 0.093
11 Pd 0.702 0.953 0.907
12 Pd 0.953 0.702 0.407



Entry 6:
The following is a DFT calculation (GGA-PBE) of a relaxed Tb4Ag3Pd crystal.

- Calculated formation energy: -458.5 meV per atom
- N(E_F): 3.1 states/eV/f.u.
- Size of the total moment: 0.0 μB/cell
- Space-group type: P4/mmm, No. 123
- Total energy: -0.16508 Ha/atom

Lattice parameters (Å, degrees): 3.612 3.612 14.557 90.00 90.00 90.00
Fractional positions:
1 Tb 0.000 0.000 0.117
2 Tb 0.000 0.000 0.372
3 Tb 0.000 0.000 0.628
4 Tb 0.000 0.000 0.883
5 Ag 0.500 0.500 0.246
6 Ag 0.500 0.500 0.500
7 Ag 0.500 0.500 0.754
8 Pd 0.500 0.500 0.000



Entry 7:
The following is a DFT calculation (GGA-PBE) of a relaxed Tb5Ag3Pd12 crystal.

- Calculated formation energy: -65.6 meV per atom
- N(E_F): 9.8 states/eV/f.u.
- Size of the total moment: 0.0 μB/cell
- Space-group type: Ia-3d, No. 230
- Total energy: -0.17517 Ha/atom

Lattice parameters (Å, degrees): 13.518 13.518 13.518 109.47 109.47 109.47
Fractional positions:
1 Tb 0.000 0.000 0.000
2 Tb 0.000 0.000 0.500
3 Tb 0.000 0.500 0.000
4 Tb 0.000 0.500 0.500
5 Tb 0.125 0.750 0.875
6 Tb 0.125 0.875 0.250
7 Tb 0.250 0.125 0.875
8 Tb 0.250 0.625 0.375
9 Tb 0.375 0.250 0.625
10 Tb 0.375 0.625 0.750
11 Tb 0.500 0.000 0.000
12 Tb 0.500 0.000 0.500
13 Tb 0.500 0.500 0.000
14 Tb 0.500 0.500 0.500
15 Tb 0.625 0.375 0.250
16 Tb 0.625 0.750 0.375
17 Tb 0.750 0.375 0.625
18 Tb 0.750 0.875 0.125
19 Tb 0.875 0.125 0.750
20 Tb 0.875 0.250 0.125
21 Ag 0.125 0.250 0.375
22 Ag 0.125 0.375 0.750
23 Ag 0.250 0.375 0.125
24 Ag 0.250 0.875 0.625
25 Ag 0.375 0.125 0.250
26 Ag 0.375 0.750 0.125
27 Ag 0.625 0.250 0.875
28 Ag 0.625 0.875 0.750
29 Ag 0.750 0.125 0.375
30 Ag 0.750 0.625 0.875
31 Ag 0.875 0.625 0.250
32 Ag 0.875 0.750 0.625
33 Pd 0.073 0.647 0.414
34 Pd 0.073 0.926 0.659
35 Pd 0.074 0.233 0.147
36 Pd 0.074 0.341 0.927
37 Pd 0.086 0.733 0.659
38 Pd 0.086 0.853 0.427
39 Pd 0.147 0.074 0.233
40 Pd 0.147 0.573 0.914
41 Pd 0.159 0.233 0.586
42 Pd 0.159 0.426 0.573
43 Pd 0.233 0.147 0.074
44 Pd 0.233 0.586 0.159
45 Pd 0.267 0.341 0.914
46 Pd 0.267 0.426 0.353
47 Pd 0.341 0.914 0.267
48 Pd 0.341 0.927 0.074
49 Pd 0.353 0.267 0.426
50 Pd 0.353 0.586 0.927
51 Pd 0.414 0.073 0.647
52 Pd 0.414 0.841 0.767
53 Pd 0.426 0.353 0.267
54 Pd 0.426 0.573 0.159
55 Pd 0.427 0.086 0.853
56 Pd 0.427 0.841 0.574
57 Pd 0.573 0.159 0.426
58 Pd 0.573 0.914 0.147
59 Pd 0.574 0.427 0.841
60 Pd 0.574 0.647 0.733
61 Pd 0.586 0.159 0.233
62 Pd 0.586 0.927 0.353
63 Pd 0.647 0.414 0.073
64 Pd 0.647 0.733 0.574
65 Pd 0.659 0.073 0.926
66 Pd 0.659 0.086 0.733
67 Pd 0.733 0.574 0.647
68 Pd 0.733 0.659 0.086
69 Pd 0.767 0.414 0.841
70 Pd 0.767 0.853 0.926
71 Pd 0.841 0.574 0.427
72 Pd 0.841 0.767 0.414
73 Pd 0.853 0.427 0.086
74 Pd 0.853 0.926 0.767
75 Pd 0.914 0.147 0.573
76 Pd 0.914 0.267 0.341
77 Pd 0.926 0.659 0.073
78 Pd 0.926 0.767 0.853
79 Pd 0.927 0.074 0.341
80 Pd 0.927 0.353 0.586



Entry 8:
The following is a DFT calculation (GGA-PBE) of a relaxed Tb2Ag2Pd3 crystal.

- Calculated formation energy: -620.9 meV per atom
- Energy relative to the lowest polymorph listed for this composition: 0.0 meV per atom
- N(E_F): 3.0 states/eV/f.u.
- Size of the total moment: 0.0 μB/cell
- Space-group type: C2/m, No. 12
- Total energy: -0.18316 Ha/atom

Lattice parameters (Å, degrees): 5.225 5.225 6.834 96.41 96.41 47.40
Fractional positions:
1 Tb 0.080 0.080 0.251
2 Tb 0.920 0.920 0.749
3 Ag 0.357 0.357 0.076
4 Ag 0.643 0.643 0.924
5 Pd 0.213 0.213 0.645
6 Pd 0.500 0.500 0.500
7 Pd 0.787 0.787 0.355